*P*
Here is AuI2O2 after structural relaxation from Alexandria via LeMat-Bulk. Energies are from PBE.

```
data_AuI2O2
_chemical_formula_sum 'Au1 I2 O2'
_space_group_name_H-M_alt 'P 4/m m m'
_space_group_IT_number 123
_space_group_name_Hall '-P 4 2'
_cell_length_a 4.950
_cell_length_b 4.950
_cell_length_c 3.944
_cell_angle_alpha 90.00
_cell_angle_beta 90.00
_cell_angle_gamma 90.00
loop_
_atom_site_label
_atom_site_fract_x
_atom_site_fract_y
_atom_site_fract_z
Au1 0.000 0.000 0.000
I1 0.000 0.500 0.500
O1 0.500 0.500 0.000
O2 0.500 0.500 0.500
```

=====

*Q*
Here is AuI2O2 after structural relaxation from Alexandria via LeMat-Bulk. Energies are from PBE.

```
data_AuI2O2
_chemical_formula_sum 'Au1 I2 O2'
_space_group_name_H-M_alt 'P 4/m m m'
_space_group_IT_number 123
_space_group_name_Hall '-P 4 2'
_cell_length_a 4.055
_cell_length_b 4.055
_cell_length_c 8.777
_cell_angle_alpha 90.00
_cell_angle_beta 90.00
_cell_angle_gamma 90.00
loop_
_atom_site_label
_atom_site_fract_x
_atom_site_fract_y
_atom_site_fract_z
Au1 0.000 0.000 0.000
I1 0.500 0.500 0.000
I2 0.500 0.500 0.500
O1 0.000 0.500 0.500
```

=====

*R*
Here is AuI2O2 after structural relaxation from Alexandria via LeMat-Bulk. Energies are from PBE.

```
data_AuI2O2
_chemical_formula_sum 'Au1 I2 O2'
_space_group_name_H-M_alt 'P 4/m m m'
_space_group_IT_number 123
_space_group_name_Hall '-P 4 2'
_cell_length_a 4.209
_cell_length_b 4.209
_cell_length_c 7.610
_cell_angle_alpha 90.00
_cell_angle_beta 90.00
_cell_angle_gamma 90.00
loop_
_atom_site_label
_atom_site_fract_x
_atom_site_fract_y
_atom_site_fract_z
Au1 0.000 0.000 0.000
I1 0.000 0.000 0.500
I2 0.500 0.500 0.500
O1 0.000 0.500 0.000
```

=====

Which structure above is the least stable one? *P* is the least stable one.